# 1
Computed, not measured: PaZnCdPt after structural relaxation at the PBE level of DFT.

Values from the calculation:
- final energy (eV per formula unit) = -19.34

Lattice parameters (Å, degrees): 6.8377 6.8377 6.8377 90.00 90.00 90.00
Last column: nearest neighbours and their distance in Å.
Space group F-43m (No. 216)
Asymmetric unit:
Pa  0.0000  0.0000  0.0000 (multiplicity 4)  4 Pt 2.96, 4 Zn 2.96
Zn  0.2500  0.2500  0.7500 (multiplicity 4)  4 Cd 2.96, 4 Pa 2.96
Cd  0.0000  0.0000  0.5000 (multiplicity 4)  4 Pt 2.96, 4 Zn 2.96
Pt  0.2500  0.2500  0.2500 (multiplicity 4)  4 Cd 2.96, 4 Pa 2.96

***

# 2
Computed, not measured: PaZnCd2Pt2 after structural relaxation at the PBE level of DFT.

Values from the calculation:
- final energy (eV per formula unit) = -27.96

Lattice parameters (Å, degrees): 3.9352 8.4050 7.3015 90.00 90.00 90.00
Last column: nearest neighbours and their distance in Å.
Space group Pmc2_1 (No. 26)
Asymmetric unit:
Pa  0.0000  0.0773  0.0000 (multiplicity 2)  5 Pt 2.76-2.91
Zn  0.5000  0.1929  0.6600 (multiplicity 2)  4 Pt 2.61-2.80, 2 Cd 2.91
Cd  0.0000  0.3266  0.4106 (multiplicity 2)  4 Pt 2.79-2.86, 2 Zn 2.91
Cd  0.5000  0.4200  0.0846 (multiplicity 2)  5 Pt 2.91-3.14, 4 Cd 3.17-3.19
Pt  0.0000  0.3562  0.7995 (multiplicity 2)  2 Zn 2.61, 1 Pa 2.76, 4 Cd 2.79-2.91
Pt  0.5000  0.1024  0.2904 (multiplicity 2)  2 Zn 2.66-2.80, 2 Cd 2.86, 4 Pa 2.90-2.91

***

# 3
Computed, not measured: PuPaCd2 after structural relaxation at the PBE level of DFT.

Values from the calculation:
- distance to the lowest polymorph of the same formula (eV per atom) = 0.2626

Lattice parameters (Å, degrees): 3.0676 3.0676 37.3665 90.00 90.00 120.00
Last column: nearest neighbours and their distance in Å.
Space group R-3m (No. 166, hexagonal axes)
Asymmetric unit:
Pu  0.0000  0.0000  0.0000 (multiplicity 3)  6 Pu 3.07, 6 Cd 3.39
Pa  0.0000  0.0000  0.5000 (multiplicity 3)  6 Pa 3.07, 2 Cd 3.34
Cd  0.0000  0.0000  0.4107 (multiplicity 6)  6 Cd 3.07, 1 Pa 3.34, 3 Pu 3.39

***

# 4
Computed, not measured: PuPa2Cd after structural relaxation at the PBE level of DFT.

Values from the calculation:
- distance to the lowest polymorph of the same formula (eV per atom) = 0.0000

Lattice parameters (Å, degrees): 5.4215 5.4215 3.2597 90.00 90.00 90.00
Last column: nearest neighbours and their distance in Å.
Space group P4/mmm (No. 123)
Asymmetric unit:
Pu  0.0000  0.0000  0.0000 (multiplicity 1)  8 Pa 3.16, 2 Pu 3.26
Pa  0.0000  0.5000  0.5000 (multiplicity 2)  4 Cd 3.16, 4 Pu 3.16, 2 Pa 3.26
Cd  0.5000  0.5000  0.0000 (multiplicity 1)  8 Pa 3.16, 2 Cd 3.26

***

# 5
Computed, not measured: Pu2PaCd after structural relaxation at the PBE level of DFT.

Values from the calculation:
- distance to the lowest polymorph of the same formula (eV per atom) = 0.1476

Lattice parameters (Å, degrees): 7.3421 7.3421 7.3421 90.00 90.00 90.00
Last column: nearest neighbours and their distance in Å.
Space group Fm-3m (No. 225)
Asymmetric unit:
Pu  0.2500  0.2500  0.2500 (multiplicity 8)  4 Cd 3.18, 4 Pa 3.18
Pa  0.0000  0.0000  0.0000 (multiplicity 4)  8 Pu 3.18
Cd  0.0000  0.0000  0.5000 (multiplicity 4)  8 Pu 3.18

***

# 6
Computed, not measured: PuPaCd after structural relaxation at the PBE level of DFT.

Values from the calculation:
- distance to the lowest polymorph of the same formula (eV per atom) = 0.0000

Lattice parameters (Å, degrees): 3.3545 3.3545 13.0884 90.00 90.00 90.00
Last column: nearest neighbours and their distance in Å.
Space group P4/nmm (No. 129, origin choice 2)
Asymmetric unit:
Pu  0.2500  0.2500  0.2443 (multiplicity 2)  4 Pa 3.18, 4 Cd 3.34, 4 Pu 3.35
Pa  0.2500  0.2500  0.9172 (multiplicity 2)  4 Pu 3.18, 8 Pa 3.21-3.35
Cd  0.2500  0.2500  0.5760 (multiplicity 2)  8 Cd 3.10-3.35, 4 Pu 3.34

***

# 7
Computed, not measured: Pu2PaCd after structural relaxation at the PBE level of DFT.

Values from the calculation:
- distance to the lowest polymorph of the same formula (eV per atom) = 0.1164

Lattice parameters (Å, degrees): 4.5966 4.5966 4.7862 90.00 90.00 90.00
Last column: nearest neighbours and their distance in Å.
Space group P4/mmm (No. 123)
Asymmetric unit:
Pu  0.0000  0.5000  0.0000 (multiplicity 2)  4 Pu 3.25, 4 Cd 3.32, 4 Pa 3.32
Pa  0.0000  0.0000  0.5000 (multiplicity 1)  4 Cd 3.25, 8 Pu 3.32
Cd  0.5000  0.5000  0.5000 (multiplicity 1)  4 Pa 3.25, 8 Pu 3.32

***

# 8
Computed, not measured: PuPaCd after structural relaxation at the PBE level of DFT.

Values from the calculation:
- distance to the lowest polymorph of the same formula (eV per atom) = 0.1309

Lattice parameters (Å, degrees): 3.1629 3.1629 8.5792 90.00 90.00 120.00
Last column: nearest neighbours and their distance in Å.
Space group P3m1 (No. 156)
Asymmetric unit:
Pu  0.0000  0.0000  0.0000 (multiplicity 1)  6 Pu 3.16, 3 Cd 3.38, 3 Pa 3.40
Pa  0.6667  0.3333  0.3344 (multiplicity 1)  6 Pa 3.16, 3 Pu 3.40, 3 Cd 3.40
Cd  0.3333  0.6667  0.6690 (multiplicity 1)  6 Cd 3.16, 3 Pu 3.38, 3 Pa 3.40

***

# 9
Computed, not measured: PuPaCd after structural relaxation at the PBE level of DFT.

Values from the calculation:
- distance to the lowest polymorph of the same formula (eV per atom) = 0.0659

Lattice parameters (Å, degrees): 11.6149 3.0793 9.2786 90.00 119.14 90.00
Last column: nearest neighbours and their distance in Å.
Space group C2/m (No. 12)
Asymmetric unit:
Pu  0.1341  0.0000  0.1566 (multiplicity 4)  1 Pa 2.76, 3 Pu 3.05-3.08
Pa  0.1241  0.5000  0.8315 (multiplicity 4)  1 Pu 2.76, 2 Pa 3.08
Cd  0.1329  0.0000  0.5075 (multiplicity 4)  5 Cd 3.02-3.19, 3 Pu 3.26-3.35

***

# 10
Computed, not measured: Pu2PaCd after structural relaxation at the PBE level of DFT.

Values from the calculation:
- distance to the lowest polymorph of the same formula (eV per atom) = 0.7332

Lattice parameters (Å, degrees): 3.9503 3.9503 27.7688 90.00 90.00 120.00
Last column: nearest neighbours and their distance in Å.
Space group R-3m (No. 166, hexagonal axes)
Asymmetric unit:
Pu  0.0000  0.0000  0.1148 (multiplicity 6)  3 Pa 2.70
Pa  0.0000  0.0000  0.5000 (multiplicity 3)  6 Pu 2.70
Cd  0.0000  0.0000  0.0000 (multiplicity 3)  2 Pu 3.19

***

# 11
Computed, not measured: Pu2PaCd after structural relaxation at the PBE level of DFT.

Values from the calculation:
- distance to the lowest polymorph of the same formula (eV per atom) = 0.0000

Lattice parameters (Å, degrees): 3.3269 3.3269 9.0075 90.00 90.00 90.00
Last column: nearest neighbours and their distance in Å.
Space group P4/mmm (No. 123)
Asymmetric unit:
Pu  0.0000  0.0000  0.2327 (multiplicity 2)  4 Pa 3.15, 4 Pu 3.33, 4 Cd 3.37
Pa  0.5000  0.5000  0.0000 (multiplicity 1)  8 Pu 3.15, 4 Pa 3.33
Cd  0.5000  0.5000  0.5000 (multiplicity 1)  4 Cd 3.33, 8 Pu 3.37

***

# 12
Computed, not measured: PuPaCd2 after structural relaxation at the PBE level of DFT.

Values from the calculation:
- distance to the lowest polymorph of the same formula (eV per atom) = 0.0000

Lattice parameters (Å, degrees): 4.3456 4.3456 5.0510 90.00 90.00 90.00
Last column: nearest neighbours and their distance in Å.
Space group P4/mmm (No. 123)
Asymmetric unit:
Pu  0.0000  0.0000  0.0000 (multiplicity 1)  4 Pa 3.07, 8 Cd 3.33
Pa  0.5000  0.5000  0.0000 (multiplicity 1)  4 Pu 3.07, 8 Cd 3.33
Cd  0.0000  0.5000  0.5000 (multiplicity 2)  4 Cd 3.07, 4 Pa 3.33, 4 Pu 3.33

***

Repeat the sixth record exactly.
Computed, not measured: PuPaCd after structural relaxation at the PBE level of DFT.

Values from the calculation:
- distance to the lowest polymorph of the same formula (eV per atom) = 0.0000

Lattice parameters (Å, degrees): 3.3545 3.3545 13.0884 90.00 90.00 90.00
Last column: nearest neighbours and their distance in Å.
Space group P4/nmm (No. 129, origin choice 2)
Asymmetric unit:
Pu  0.2500  0.2500  0.2443 (multiplicity 2)  4 Pa 3.18, 4 Cd 3.34, 4 Pu 3.35
Pa  0.2500  0.2500  0.9172 (multiplicity 2)  4 Pu 3.18, 8 Pa 3.21-3.35
Cd  0.2500  0.2500  0.5760 (multiplicity 2)  8 Cd 3.10-3.35, 4 Pu 3.34